Entry 1:
Entry from Alexandria via LeMat-Bulk: a relaxed structure of PPdS3 (PBE).

Polymorph energy (0 for the lowest one), kJ/mol of formula units: 0.0

extended XYZ file:
```
10
Lattice="3.351 0.000 0.000 0.000 6.087 0.000 -1.676 0.000 9.526" Properties=species:S:1:pos:R:3 pbc="T T T"
P 0.000 3.044 6.640
P 1.676 6.087 2.886
Pd 1.676 6.005 6.292
Pd 0.000 2.962 3.235
S 1.676 2.090 7.805
S 0.000 5.134 1.721
S 1.676 1.880 1.855
S 0.000 4.923 7.671
S 1.676 3.989 4.686
S 0.000 0.945 4.840
```


Entry 2:
Entry from Alexandria via LeMat-Bulk: a relaxed structure of P3PdS (PBE).

Polymorph energy (0 for the lowest one), kJ/mol of formula units: 57.6

extended XYZ file:
```
5
Lattice="4.661 0.000 0.000 0.000 4.661 0.000 0.000 0.000 4.661" Properties=species:S:1:pos:R:3 pbc="T T T"
P 0.000 2.330 0.000
P 0.000 0.000 2.330
P 2.330 0.000 0.000
S 2.330 2.330 2.330
Pd 0.000 0.000 0.000
```


Entry 3:
Entry from Alexandria via LeMat-Bulk: a relaxed structure of P2PdS2 (PBE).

Polymorph energy (0 for the lowest one), kJ/mol of formula units: 131.6

extended XYZ file:
```
5
Lattice="4.660 0.000 0.000 0.000 4.660 0.000 0.000 0.000 4.675" Properties=species:S:1:pos:R:3 pbc="T T T"
P 0.000 2.330 0.000
P 2.330 0.000 0.000
S 2.330 2.330 2.338
S 0.000 0.000 2.338
Pd 0.000 0.000 0.000
```


Entry 4:
Entry from Alexandria via LeMat-Bulk: a relaxed structure of P2PdS (PBE).

Raw total energy, eV per atom: -4.862

extended XYZ file:
```
8
Lattice="-2.237 -2.486 4.194 4.783 -2.013 1.358 2.251 2.209 5.941" Properties=species:S:1:pos:R:3 pbc="T T T"
P -0.266 -1.285 4.330
P 3.301 -0.985 2.804
P 2.581 -0.004 6.520
P 3.977 -2.305 9.331
S 1.273 -2.249 2.776
S 4.153 -1.027 5.037
Pd 0.000 0.000 0.000
Pd 0.643 -1.263 6.455
```


Entry 5:
Entry from Alexandria via LeMat-Bulk: a relaxed structure of PPd8S2 (PBE).

Raw total energy, eV per atom: -5.212

extended XYZ file:
```
11
Lattice="-2.759 0.364 2.548 -0.050 -5.520 0.735 6.906 2.197 4.368" Properties=species:S:1:pos:R:3 pbc="T T T"
P -1.379 0.182 1.274
Pd 4.480 -1.226 5.024
Pd 0.165 -4.507 3.616
Pd 1.614 -2.367 4.879
Pd 3.858 1.146 6.806
Pd 2.483 -0.591 2.772
Pd 3.933 1.549 4.035
Pd -0.382 -1.732 2.627
Pd 0.239 -4.105 0.845
S 2.232 -0.043 5.216
S 1.865 -2.915 2.436
```


Entry 6:
Entry from Alexandria via LeMat-Bulk: a relaxed structure of PPdS3 (PBE).

Polymorph energy (0 for the lowest one), kJ/mol of formula units: 367.2

extended XYZ file:
```
5
Lattice="-0.800 2.208 -3.797 -4.392 -0.429 0.676 -0.031 3.856 2.249" Properties=species:S:1:pos:R:3 pbc="T T T"
P 0.000 0.000 0.000
S -2.196 -0.214 0.338
S -0.015 1.928 1.124
S -0.400 1.104 -1.898
Pd -2.611 2.818 -0.436
```


Entry 7:
Entry from Alexandria via LeMat-Bulk: a relaxed structure of PPd3S (PBE).

Polymorph energy (0 for the lowest one), kJ/mol of formula units: 0.0

extended XYZ file:
```
10
Lattice="3.471 0.000 0.000 0.000 7.699 0.000 0.000 0.000 6.374" Properties=species:S:1:pos:R:3 pbc="T T T"
P 0.000 4.978 1.950
P 0.000 2.721 5.137
Pd 1.735 4.877 3.598
Pd 1.735 1.238 4.419
Pd 0.000 2.752 2.706
Pd 1.735 2.822 0.411
Pd 0.000 4.947 5.893
Pd 1.735 6.461 1.232
S 1.735 1.036 2.015
S 1.735 6.663 5.202
```


Entry 8:
Entry from Alexandria via LeMat-Bulk: a relaxed structure of P2PdS2 (PBE).

Polymorph energy (0 for the lowest one), kJ/mol of formula units: 0.0

extended XYZ file:
```
5
Lattice="-4.055 0.996 -1.445 -0.097 -3.759 -2.319 -1.784 -2.135 3.536" Properties=species:S:1:pos:R:3 pbc="T T T"
P 0.000 0.000 0.000
P -0.892 -1.068 1.768
S -0.048 -1.880 -1.159
S -2.027 0.498 -0.722
Pd -2.968 -2.449 -0.114
```


| no. | volume (Å³/cell) |
| --- | --- |
| 1 | 194.3 |
| 2 | 101.2 |
| 3 | 101.5 |
| 4 | 159.8 |
| 5 | 169.8 |
| 6 | 89.0 |
| 7 | 170.3 |
| 8 | 87.8 |